Entry from OQMD: crystalline HfCuSiAg at its relaxed geometry (PBE).

Cell: 6.388 6.388 6.388 Å, 90.00 90.00 90.00°
Space group F-43m (No. 216)
One atom of each set of equivalent atoms:
Hf 0.000 0.000 0.000
Cu 0.000 0.000 0.500
Si 0.250 0.250 0.250
Ag 0.250 0.250 0.750

Output
polymorph energy (0 for the lowest one)	0	meV/atom
size of the total moment	0.00	μB per cell

Entry from OQMD: crystalline AlTcPb at its relaxed geometry (PBE).

Cell: 6.314 6.314 6.314 Å, 90.00 90.00 90.00°
Space group F-43m (No. 216)
One atom of each set of equivalent atoms:
Al 0.000 0.000 0.000
Tc 0.250 0.250 0.250
Pb 0.000 0.000 0.500

Output
raw total energy	-5.476	eV per atom
size of the total moment	0.01	μB per cell

Entry from OQMD: crystalline GdGeNO at its relaxed geometry (PBE).

Cell: 3.310 5.416 6.127 Å, 90.00 90.00 90.00°
Space group Pmc2_1 (No. 26)
One atom of each set of equivalent atoms:
Gd 0.000 0.139 0.000
Ge 0.500 0.389 0.502
N 0.000 0.279 0.635
O 0.500 0.113 0.292

Output
polymorph energy (0 for the lowest one)	184	meV/atom
size of the total moment	0.00	μB per cell

Entry from OQMD: crystalline Ho4Lu4B3 at its relaxed geometry (PBE).

Cell: 3.747 4.386 15.663 Å, 93.82 92.12 93.94°
Space group P-1 (No. 2)
One atom of each set of equivalent atoms:
Ho 0.012 0.271 0.427
Ho 0.456 0.714 0.076
Lu 0.028 0.768 0.796
Lu 0.482 0.781 0.331
B 0.023 0.135 0.039
B 0.500 0.000 0.500

Output
raw total energy	-5.049	eV per atom
size of the total moment	0.00	μB per cell

Entry from OQMD: crystalline TbSm at its relaxed geometry (PBE).

Cell: 6.474 6.474 6.474 Å, 90.00 90.00 90.00°
Space group Fm-3m (No. 225)
One atom of each set of equivalent atoms:
Tb 0.000 0.000 0.000
Sm 0.000 0.000 0.500

Output
polymorph energy (0 for the lowest one)	692	meV/atom
size of the total moment	3.70	μB per cell

Entry from OQMD: crystalline AlPdW at its relaxed geometry (PBE).

Cell: 5.966 5.966 5.966 Å, 90.00 90.00 90.00°
Space group F-43m (No. 216)
One atom of each set of equivalent atoms:
Al 0.000 0.000 0.000
Pd 0.250 0.250 0.250
W 0.000 0.000 0.500

Output
polymorph energy (0 for the lowest one)	0	meV/atom
size of the total moment	2.96	μB per cell

Entry from OQMD: crystalline KLuPO at its relaxed geometry (PBE).

Cell: 4.569 7.673 6.505 Å, 90.00 90.00 90.00°
Space group Pmc2_1 (No. 26)
One atom of each set of equivalent atoms:
K 0.000 0.212 0.000
Lu 0.500 0.373 0.584
P 0.000 0.202 0.489
O 0.500 0.413 0.898

Output
polymorph energy (0 for the lowest one)	89	meV/atom
size of the total moment	2.00	μB per cell

Entry from OQMD: crystalline GaReAsO at its relaxed geometry (PBE).

Cell: 3.675 3.675 9.668 Å, 90.00 90.00 90.00°
Space group P4/nmm (No. 129, origin choice 2)
One atom of each set of equivalent atoms:
Ga 0.250 0.250 0.091
Re 0.250 0.750 0.500
As 0.250 0.250 0.691
O 0.250 0.750 0.000

Output
polymorph energy (0 for the lowest one)	0	meV/atom
size of the total moment	0.05	μB per cell

Entry from OQMD: crystalline Re5N at its relaxed geometry (PBE).

Cell: 4.9337 4.9337 4.6988 Å, 90.00 90.00 120.00°
Space group P6/mmm (No. 191)
One atom of each set of equivalent atoms:
Re 0.0000 0.5000 0.0000
Re 0.3333 0.6667 0.5000
N 0.0000 0.0000 0.5000

Output
raw total energy	-10.154	eV per atom
size of the total moment	0.01	μB per cell

Entry from OQMD: crystalline TbDyHg6 at its relaxed geometry (PBE).

Cell: 6.5996 6.5996 5.0026 Å, 90.00 90.00 120.00°
Space group P-6m2 (No. 187)
One atom of each set of equivalent atoms:
Tb 0.0000 0.0000 0.0000
Dy 0.6667 0.3333 0.5000
Hg 0.0002 0.5001 0.0000
Hg 0.1670 0.3340 0.5000

Output
raw total energy	-1.729	eV per atom
size of the total moment	0.01	μB per cell

Entry from OQMD: crystalline HfFe4As2 at its relaxed geometry (PBE).

Cell: 6.984 6.984 3.827 Å, 90.00 90.00 90.00°
Space group P4_2/mnm (No. 136)
One atom of each set of equivalent atoms:
Hf 0.000 0.000 0.000
Fe 0.093 0.352 0.500
As 0.214 0.786 0.500

Output
raw total energy	-7.853	eV per atom
size of the total moment	12.97	μB per cell

Entry from OQMD: crystalline BaTmAs at its relaxed geometry (PBE).

Cell: 7.290 7.290 7.290 Å, 90.00 90.00 90.00°
Space group F-43m (No. 216)
One atom of each set of equivalent atoms:
Ba 0.000 0.000 0.000
Tm 0.000 0.000 0.500
As 0.250 0.250 0.250

Output
polymorph energy (0 for the lowest one)	0	meV/atom
size of the total moment	0.03	μB per cell

Entry from OQMD: crystalline LiTh at its relaxed geometry (PBE).

Cell: 3.3449 3.3449 5.5609 Å, 90.00 90.00 120.00°
Space group P-6m2 (No. 187)
One atom of each set of equivalent atoms:
Li 0.0000 0.0000 0.0000
Th 0.6667 0.3333 0.5000

Output
polymorph energy (0 for the lowest one)	0	meV/atom
size of the total moment	0.00	μB per cell

Entry from OQMD: crystalline Lu2Se3 at its relaxed geometry (PBE).

Cell: 8.020 11.277 23.942 Å, 90.00 90.00 90.00°
Space group Fddd (No. 70, origin choice 2)
One atom of each set of equivalent atoms:
Lu 0.125 0.125 0.041
Lu 0.125 0.125 0.377
Se 0.119 0.373 0.207
Se 0.120 0.375 0.375

Output
raw total energy	-5.756	eV per atom
size of the total moment	0.00	μB per cell

Entry from OQMD: crystalline ZrFeAgPb at its relaxed geometry (PBE).

Cell: 6.675 6.675 6.675 Å, 90.00 90.00 90.00°
Space group F-43m (No. 216)
One atom of each set of equivalent atoms:
Zr 0.000 0.000 0.000
Fe 0.000 0.000 0.500
Ag 0.250 0.250 0.750
Pb 0.250 0.250 0.250

Output
polymorph energy (0 for the lowest one)	68	meV/atom
size of the total moment	9.02	μB per cell

Entry from OQMD: crystalline PrHfNO at its relaxed geometry (PBE).

Cell: 4.269 4.269 8.406 Å, 90.00 90.00 90.00°
Space group P4/nmm (No. 129, origin choice 2)
One atom of each set of equivalent atoms:
Pr 0.250 0.250 0.128
Hf 0.250 0.750 0.500
N 0.250 0.250 0.524
O 0.250 0.750 0.000

Output
polymorph energy (0 for the lowest one)	58	meV/atom
size of the total moment	0.00	μB per cell

Entry from OQMD: crystalline SrYTe2AuSe at its relaxed geometry (PBE).

Cell: 4.274 14.770 10.773 Å, 90.00 90.00 90.00°
Space group Cmcm (No. 63)
One atom of each set of equivalent atoms:
Sr 0.000 0.240 0.250
Y 0.000 0.500 0.000
Te 0.000 0.148 0.554
Au 0.000 0.028 0.750
Se 0.000 0.418 0.750

Output
raw total energy	-4.803	eV per atom
size of the total moment	0.00	μB per cell

Entry from OQMD: crystalline Na4MgAgGe2 at its relaxed geometry (PBE).

Cell: 4.924 4.924 7.004 Å, 90.00 90.00 90.00°
Space group P-4m2 (No. 115)
One atom of each set of equivalent atoms:
Na 0.000 0.000 0.000
Na 0.000 0.500 0.733
Na 0.500 0.500 0.500
Mg 0.500 0.500 0.000
Ag 0.000 0.000 0.500
Ge 0.000 0.500 0.248

Output
raw total energy	-2.424	eV per atom

Entry from OQMD: crystalline NaNpAgSe3 at its relaxed geometry (PBE).

Cell: 4.159 13.449 10.738 Å, 90.00 90.00 90.00°
Space group Cmcm (No. 63)
One atom of each set of equivalent atoms:
Na 0.000 0.245 0.250
Np 0.000 0.000 0.000
Ag 0.000 0.465 0.750
Se 0.000 0.086 0.750
Se 0.000 0.361 0.548

Output
raw total energy	-5.470	eV per atom
size of the total moment	12.00	μB per cell

Entry from OQMD: crystalline NdYGe2 at its relaxed geometry (PBE).

Cell: 4.273 18.726 5.477 Å, 90.00 90.00 90.00°
Space group Cmcm (No. 63)
One atom of each set of equivalent atoms:
Nd 0.000 0.078 0.250
Y 0.000 0.295 0.250
Ge 0.000 0.311 0.750
Ge 0.000 0.455 0.250

Output
raw total energy	-5.721	eV per atom
size of the total moment	0.01	μB per cell

Entry from OQMD: crystalline Gd2Si2O7 at its relaxed geometry (PBE).

Cell: 6.690 6.690 12.186 Å, 90.00 90.00 90.00°
Space group P4_12_12 (No. 92)
One atom of each set of equivalent atoms:
Gd 0.123 0.349 0.116
Si 0.098 0.155 0.626
O 0.023 0.067 0.878
O 0.051 0.665 0.174
O 0.138 0.300 0.300
O 0.188 0.188 0.500

Output
raw total energy	-8.188	eV per atom
size of the total moment	0.01	μB per cell

Entry from OQMD: crystalline GdAgPO at its relaxed geometry (PBE).

Cell: 3.994 3.994 8.681 Å, 90.00 90.00 90.00°
Space group P4/nmm (No. 129, origin choice 2)
One atom of each set of equivalent atoms:
Gd 0.250 0.250 0.127
Ag 0.250 0.750 0.500
P 0.250 0.250 0.688
O 0.250 0.750 0.000

Output
polymorph energy (0 for the lowest one)	0	meV/atom
size of the total moment	0.03	μB per cell

Entry from OQMD: crystalline ScBeCu4Si2 at its relaxed geometry (PBE).

Cell: 3.979 3.979 6.410 Å, 90.00 90.00 90.00°
Space group P4/mmm (No. 123)
One atom of each set of equivalent atoms:
Sc 0.000 0.000 0.000
Be 0.500 0.500 0.500
Cu 0.000 0.500 0.288
Si 0.000 0.000 0.500
Si 0.500 0.500 0.000

Output
raw total energy	-4.616	eV per atom
size of the total moment	0.01	μB per cell